12
Lattice="-4.421 -0.512 -1.687 -1.555 -7.361 -0.405 -4.278 -0.670 4.703" Properties=species:S:1:pos:R:3 comment="PaGa4Rh7 (PBE, relaxed)" e_tot_ev_per_atom=-6.524 dos_ef_per_ev_cell=6.665 crystal_system=monoclinic ef_ev_per_atom=-0.43 pbc="T T T"
Rh -2.179 -5.137 0.554
Rh -3.035 -1.308 1.637
Rh -7.220 -7.235 0.975
Rh -2.211 -0.256 -0.843
Rh -8.076 -3.407 2.057
Rh -5.578 -4.815 2.651
Rh -4.677 -3.728 -0.040
Ga -5.540 -2.338 1.801
Ga -2.188 -2.733 -0.151
Ga -4.715 -6.205 0.811
Ga -8.067 -5.810 2.762
Pa 0.000 0.000 0.000

5
Lattice="4.601 0.000 0.000 0.000 4.601 0.000 0.000 0.000 5.273" Properties=species:S:1:pos:R:3 comment="NaP2PdS (PBE, relaxed)" e_tot_ev_per_atom=-3.976 dos_ef_per_ev_cell=3.219 raw_formation_energy_kj_per_mol_fu=152.5 crystal_system=tetragonal de_polymorph_mev_per_atom=0 pbc="T T T"
Na 2.300 2.300 2.636
S 0.000 0.000 2.636
P 0.000 2.300 0.000
P 2.300 0.000 0.000
Pd 0.000 0.000 0.000

10
Lattice="5.764 0.008 0.003 -0.028 8.135 0.036 2.871 1.335 6.239" Properties=species:S:1:pos:R:3 comment="La3AuO (PBE, relaxed)" e_tot_ev_per_atom=-6.035 dos_ef_per_ev_cell=7.965 raw_formation_energy_kj_per_mol_fu=-690.5 crystal_system=triclinic de_polymorph_mev_per_atom=29 pbc="T T T"
La 4.685 6.494 3.081
La 7.568 5.197 5.330
La 4.701 2.836 2.909
La 1.811 6.198 0.371
La 1.820 1.721 0.508
La 7.563 8.837 4.364
Au 4.701 0.594 0.884
Au 1.820 3.963 2.532
O 6.138 7.015 4.847
O 3.228 7.012 4.845

11
Lattice="-4.553 -3.829 -0.628 5.327 -2.025 1.820 -2.076 2.826 6.292" Properties=species:S:1:pos:R:3 comment="Cs2Pm2RhO6 (PBE, relaxed)" e_tot_ev_per_atom=-6.394 dos_ef_per_ev_cell=7.767 raw_formation_energy_kj_per_mol_fu=-2124.9 crystal_system=monoclinic pbc="T T T"
Rh -1.038 1.413 3.146
O -0.515 -0.487 2.438
O -0.787 -2.541 5.046
O -1.592 -4.008 2.750
O 0.289 0.979 4.734
O -2.710 0.432 3.991
O 1.408 -3.460 3.493
Cs -2.929 -3.533 -0.226
Cs 3.703 -2.322 1.418
Pm 0.979 -1.216 4.146
Pm -2.282 -1.812 3.338

8
Lattice="-3.400 2.102 2.115 -4.018 -3.492 -2.989 2.381 -3.678 7.485" Properties=species:S:1:pos:R:3 comment="Sr2RhAu (PBE, relaxed)" e_tot_ev_per_atom=-3.981 dos_ef_per_ev_cell=3.444 crystal_system=monoclinic ef_ev_per_atom=-0.48 pbc="T T T"
Sr -2.438 -0.764 4.093
Sr -3.853 -2.460 -1.333
Sr -1.183 -2.608 7.944
Sr -2.598 -4.303 2.518
Au -0.566 -3.332 4.822
Au -4.471 -1.735 1.790
Rh -1.809 -1.560 1.060
Rh -3.227 -3.507 5.551

7
Lattice="5.091 0.000 0.000 -2.546 6.231 0.235 0.000 -2.567 7.767" Properties=species:S:1:pos:R:3 comment="Ba2Hg2Bi3 (PBE, relaxed)" e_tot_ev_per_atom=-2.849 dos_ef_per_ev_cell=3.136 crystal_system=monoclinic ef_ev_per_atom=-0.55 de_polymorph_mev_per_atom=0 pbc="T T T"
Bi 2.546 0.000 0.000
Bi 2.546 0.173 3.372
Bi 0.000 3.491 4.631
Hg 2.546 2.033 6.250
Hg 0.000 1.632 1.753
Ba 2.546 4.058 1.930
Ba 0.000 -0.393 6.072

4
Lattice="5.578 0.001 0.002 2.350 5.058 -0.002 -3.270 -3.618 2.708" Properties=species:S:1:pos:R:3 comment="LaMo2Ir (PBE, relaxed)" e_tot_ev_per_atom=-8.500 dos_ef_per_ev_cell=3.280 crystal_system=orthorhombic ef_ev_per_atom=0.36 de_polymorph_mev_per_atom=219 pbc="T T T"
Mo 7.684 4.904 0.000
Mo 3.236 -0.480 1.355
Ir 4.142 2.643 0.000
La 1.490 1.964 1.353

8
Lattice="-0.231 -0.483 5.221 -5.185 -0.757 -0.299 -1.486 -8.716 1.766" Properties=species:S:1:pos:R:3 comment="BaAsPd2 (PBE, relaxed)" e_tot_ev_per_atom=-4.932 dos_ef_per_ev_cell=3.083 crystal_system=tetragonal ef_ev_per_atom=-0.69 pbc="T T T"
Pd -3.699 -2.833 2.212
Pd -4.442 -7.191 3.095
Pd -4.558 -7.432 5.706
Pd -1.106 -2.455 2.362
As -2.708 -0.620 2.461
As -4.690 -5.046 1.964
Ba -2.213 -4.909 4.724
Ba 0.000 0.000 0.000

13
Lattice="-3.286 9.348 0.531 -4.116 7.912 -4.351 -7.439 6.534 -0.658" Properties=species:S:1:pos:R:3 comment="Sc6Cu7 (PBE, relaxed)" e_tot_ev_per_atom=-5.288 dos_ef_per_ev_cell=12.095 crystal_system=trigonal ef_ev_per_atom=-0.16 pbc="T T T"
Cu -8.097 13.631 -3.976
Cu -7.420 11.898 -2.238
Cu -7.153 9.456 -2.909
Cu -5.104 10.844 -2.322
Cu -7.688 14.339 -1.568
Cu -6.744 10.165 -0.501
Cu -9.737 12.951 -2.154
Sc -2.337 3.747 -0.705
Sc -12.504 20.048 -3.772
Sc -9.953 15.959 -3.003
Sc -4.887 7.836 -1.474
Sc -0.770 1.234 -0.232
Sc -14.071 22.561 -4.245

11
Lattice="5.535 0.000 0.000 0.000 9.581 0.000 0.000 -4.790 8.297" Properties=species:S:1:pos:R:3 comment="Tb3Y3Tm5 (PBE, relaxed)" e_tot_ev_per_atom=-4.242 dos_ef_per_ev_cell=15.301 crystal_system=hexagonal ef_ev_per_atom=0.82 pbc="T T T"
Tb 0.000 -2.210 3.827
Tb 0.000 2.581 4.470
Tb 0.000 4.419 0.000
Y 2.767 3.527 6.108
Y 2.767 2.527 0.000
Y 2.767 -1.264 2.189
Tm 2.767 4.790 2.766
Tm 2.767 1.800 3.117
Tm 2.767 -2.991 5.180
Tm 2.767 5.981 0.000
Tm 2.767 0.000 5.531

3
Lattice="-1.999 3.118 -1.609 -1.299 -1.673 3.438 2.567 2.866 2.365" Properties=species:S:1:pos:R:3 comment="SiRhPb (PBE, relaxed)" e_tot_ev_per_atom=-5.571 dos_ef_per_ev_cell=2.172 raw_formation_energy_kj_per_mol_fu=-22.1 crystal_system=hexagonal pbc="T T T"
Si -0.248 1.358 2.939
Pb 0.000 0.000 0.000
Rh -0.484 2.952 1.254

16
Lattice="3.511 0.000 0.000 -1.755 7.622 0.000 0.000 0.000 12.980" Properties=species:S:1:pos:R:3 comment="Bi2Pd5S (PBE, relaxed)" e_tot_ev_per_atom=-4.813 dos_ef_per_ev_cell=10.857 raw_formation_energy_kj_per_mol_fu=-62.8 crystal_system=orthorhombic pbc="T T T"
Pd 1.755 4.019 7.558
Pd 1.755 6.840 7.693
Pd 1.755 3.413 3.245
Pd 0.000 3.603 1.068
Pd 0.000 0.782 1.203
Pd 0.000 3.603 5.422
Pd 0.000 4.209 9.735
Pd 0.000 0.782 5.287
Pd 1.755 6.840 11.777
Pd 1.755 4.019 11.912
S 1.755 5.759 9.735
S 0.000 1.862 3.245
Bi 0.000 1.910 7.807
Bi 1.755 5.712 5.173
Bi 1.755 5.712 1.317
Bi 0.000 1.910 11.663